Computed, not measured: crystalline Ba2TlCo2O7 at its relaxed geometry at the GGA+U level of DFT.

Summary:
Final energy = -5.525 eV/atom

Cell and atoms, written as POSCAR:
```
Ba2TlCo2O7
1.0
3.726 0.000 0.000
0.000 3.726 0.000
0.000 0.000 14.366
Ba Tl Co O
2 1 2 7
Cartesian
0.000 1.863 4.396
0.000 1.863 9.972
1.863 0.000 7.184
1.863 0.000 1.970
1.863 0.000 12.395
0.000 1.863 7.184
0.000 0.000 2.132
1.863 1.863 2.131
0.000 0.000 12.230
1.863 1.863 12.230
1.863 0.000 5.073
1.863 0.000 9.295
```